<P>
Density functional theory data (GGA-PBE) for CsLiTlBi after structural relaxation.

Cell lengths 8.2293, 8.2293, 8.2293 Å; angles 90.00, 90.00, 90.00 degrees
With the nearest neighbours (Å) after each atom.
Space group F-43m (No. 216)
One atom of each set of equivalent atoms:
Cs (0.0000, 0.0000, 0.0000) (multiplicity 4)  4 Tl 3.56, 4 Li 3.56
Li (0.2500, 0.2500, 0.7500) (multiplicity 4)  4 Bi 3.56, 4 Cs 3.56
Tl (0.2500, 0.2500, 0.2500) (multiplicity 4)  4 Bi 3.56, 4 Cs 3.56
Bi (0.0000, 0.0000, 0.5000) (multiplicity 4)  4 Li 3.56, 4 Tl 3.56

DOS at the Fermi energy   0.38 states/eV per atom

<Q>
Density functional theory data (GGA-PBE) for CsLiTlBi after structural relaxation.

Cell lengths 4.9735, 4.9735, 21.7284 Å; angles 90.00, 90.00, 120.00 degrees
With the nearest neighbours (Å) after each atom.
Space group R3m (No. 160, hexagonal axes)
One atom of each set of equivalent atoms:
Cs (0.0000, 0.0000, 0.0000) (multiplicity 3)  3 Tl 3.94, 3 Bi 4.04, 4 Li 4.18-4.21
Li (0.0000, 0.0000, 0.1936) (multiplicity 3)  3 Bi 2.88
Tl (0.0000, 0.0000, 0.7908) (multiplicity 3)  3 Li 3.24, 3 Bi 3.34
Bi (0.0000, 0.0000, 0.5362) (multiplicity 3)  3 Li 2.88

DOS at the Fermi energy   0.00 states/eV per atom

Stability summary - winner: <Q>; margin: 0.181 eV/atom.

<P>
Density functional theory data (GGA-PBE) for CsMg2Bi2 after structural relaxation.

Cell lengths 9.4408, 9.4408, 3.5700 Å; angles 90.00, 90.00, 90.00 degrees
With the nearest neighbours (Å) after each atom.
Space group P4/mbm (No. 127)
One atom of each set of equivalent atoms:
Cs (0.0000, 0.0000, 0.0000) (multiplicity 2)  2 Cs 3.57, 4 Mg 3.74, 8 Bi 3.96
Mg (0.1233, 0.3767, 0.0000) (multiplicity 4)  6 Bi 3.25-3.38, 3 Mg 3.29-3.57
Bi (0.1617, 0.6617, 0.5000) (multiplicity 4)  6 Mg 3.25-3.38, 2 Bi 3.57

DOS at the Fermi energy   0.35 states/eV per atom

<Q>
Density functional theory data (GGA-PBE) for CsMg2Bi2 after structural relaxation.

Cell lengths 4.4467, 4.4467, 9.4060 Å; angles 90.00, 90.00, 90.00 degrees
With the nearest neighbours (Å) after each atom.
Space group P4/mmm (No. 123)
One atom of each set of equivalent atoms:
Cs (0.0000, 0.0000, 0.0000) (multiplicity 1)  8 Bi 4.09, 4 Cs 4.45
Mg (0.0000, 0.5000, 0.5000) (multiplicity 2)  4 Bi 3.05, 4 Mg 3.14
Bi (0.5000, 0.5000, 0.2786) (multiplicity 2)  4 Mg 3.05

DOS at the Fermi energy   0.83 states/eV per atom

Stability summary - winner: <P>; margin: 0.046 eV/atom.

<P>
Density functional theory data (GGA-PBE) for CsMg2Bi2 after structural relaxation.

Cell lengths 5.0686, 5.0686, 13.8830 Å; angles 90.00, 90.00, 90.00 degrees
With the nearest neighbours (Å) after each atom.
Space group I4/mmm (No. 139)
One atom of each set of equivalent atoms:
Cs (0.0000, 0.0000, 0.0000) (multiplicity 2)  8 Bi 4.02, 8 Mg 4.30
Mg (0.0000, 0.5000, 0.2500) (multiplicity 4)  4 Bi 3.02
Bi (0.0000, 0.0000, 0.3687) (multiplicity 4)  4 Mg 3.02

DOS at the Fermi energy   0.84 states/eV per atom

<Q>
Density functional theory data (GGA-PBE) for CsMg2Bi2 after structural relaxation.

Cell lengths 7.3742, 7.7845, 8.8571 Å; angles 105.25, 103.32, 115.01 degrees
With the nearest neighbours (Å) after each atom.
Space group P-1 (No. 2)
One atom of each set of equivalent atoms:
Cs (0.1369, 0.3871, 0.2745) (multiplicity 2)  6 Bi 4.10-4.54, 7 Mg 4.45-4.58
Mg (0.2255, 0.2745, 0.7610) (multiplicity 2)  4 Bi 2.93-2.96
Mg (0.4629, 0.0124, 0.2376) (multiplicity 2)  4 Bi 2.93-2.97
Bi (0.2369, 0.9863, 0.4735) (multiplicity 2)  4 Mg 2.95-2.97
Bi (0.4768, 0.7262, 0.9531) (multiplicity 2)  4 Mg 2.93-2.95

DOS at the Fermi energy   0.20 states/eV per atom

Stability summary - winner: <P>; margin: 0.064 eV/atom.

<P>
Density functional theory data (GGA-PBE) for Cs2MgBi after structural relaxation.

Cell lengths 9.2498, 9.2498, 9.2498 Å; angles 90.00, 90.00, 90.00 degrees
With the nearest neighbours (Å) after each atom.
Space group Fm-3m (No. 225)
One atom of each set of equivalent atoms:
Cs (0.2500, 0.2500, 0.2500) (multiplicity 8)  4 Bi 4.01, 4 Mg 4.01
Mg (0.0000, 0.0000, 0.0000) (multiplicity 4)  8 Cs 4.01
Bi (0.0000, 0.0000, 0.5000) (multiplicity 4)  8 Cs 4.01

DOS at the Fermi energy   1.26 states/eV per atom

<Q>
Density functional theory data (GGA-PBE) for Cs2MgBi after structural relaxation.

Cell lengths 5.3751, 5.3751, 26.4684 Å; angles 90.00, 90.00, 90.00 degrees
With the nearest neighbours (Å) after each atom.
Space group I-42d (No. 122)
One atom of each set of equivalent atoms:
Cs (0.2459, 0.2500, 0.1250) (multiplicity 8)  4 Cs 3.77-3.83, 2 Mg 3.81, 2 Bi 3.82
Mg (0.0000, 0.0000, 0.0000) (multiplicity 4)  4 Bi 3.80, 4 Cs 3.81
Bi (0.0000, 0.0000, 0.5000) (multiplicity 4)  4 Mg 3.80, 4 Cs 3.82

DOS at the Fermi energy   0.49 states/eV per atom

Stability summary - winner: <P>; margin: 0.160 eV/atom.

<P>
Density functional theory data (GGA-PBE) for CsMnBi3 after structural relaxation.

Cell lengths 6.1977, 6.1977, 6.1977 Å; angles 90.00, 90.00, 90.00 degrees
With the nearest neighbours (Å) after each atom.
Space group Pm-3m (No. 221)
One atom of each set of equivalent atoms:
Cs (0.0000, 0.0000, 0.0000) (multiplicity 1)  6 Bi 3.10
Mn (0.5000, 0.5000, 0.5000) (multiplicity 1)  12 Bi 4.38
Bi (0.0000, 0.0000, 0.5000) (multiplicity 3)  2 Cs 3.10

DOS at the Fermi energy   3.03 states/eV per atom

<Q>
Density functional theory data (GGA-PBE) for CsMnBi3 after structural relaxation.

Cell lengths 5.5769, 5.5769, 5.5769 Å; angles 90.00, 90.00, 90.00 degrees
With the nearest neighbours (Å) after each atom.
Space group Pm-3m (No. 221)
One atom of each set of equivalent atoms:
Cs (0.0000, 0.0000, 0.0000) (multiplicity 1)  12 Bi 3.94
Mn (0.5000, 0.5000, 0.5000) (multiplicity 1)  6 Bi 2.79
Bi (0.0000, 0.5000, 0.5000) (multiplicity 3)  2 Mn 2.79

DOS at the Fermi energy   0.69 states/eV per atom

Stability summary - winner: <Q>; margin: 2.186 eV/atom.

<P>
Density functional theory data (GGA-PBE) for CsMnBi2 after structural relaxation.

Cell lengths 8.0519, 8.0519, 8.0519 Å; angles 90.00, 90.00, 90.00 degrees
With the nearest neighbours (Å) after each atom.
Space group Fm-3m (No. 225)
One atom of each set of equivalent atoms:
Cs (0.0000, 0.0000, 0.0000) (multiplicity 4)  8 Bi 3.49
Mn (0.0000, 0.0000, 0.5000) (multiplicity 4)  8 Bi 3.49
Bi (0.2500, 0.2500, 0.2500) (multiplicity 8)  4 Mn 3.49, 4 Cs 3.49

DOS at the Fermi energy   0.89 states/eV per atom

<Q>
Density functional theory data (GGA-PBE) for CsMnBi2 after structural relaxation.

Cell lengths 4.4207, 4.4207, 25.3416 Å; angles 90.00, 90.00, 120.00 degrees
With the nearest neighbours (Å) after each atom.
Space group R-3m (No. 166, hexagonal axes)
One atom of each set of equivalent atoms:
Cs (0.0000, 0.0000, 0.0000) (multiplicity 3)  6 Bi 3.92
Mn (0.0000, 0.0000, 0.5000) (multiplicity 3)  6 Bi 2.84
Bi (0.0000, 0.0000, 0.2160) (multiplicity 6)  3 Mn 2.84

DOS at the Fermi energy   0.34 states/eV per atom

Stability summary - winner: <Q>; margin: 0.492 eV/atom.